# 1
DFT (PBE) results for a geometry-optimized BaTiH2F8 structure.

final energy: -5.534 eV per atom

Lattice parameters (Å, degrees): 5.2492 5.2541 7.4381 77.46 77.46 61.46
Space group P-1 (No. 2)
Asymmetric unit:
Ba  0.0000  0.0000  0.0000 [1 per cell]
Ti  0.0000  0.0000  0.5000 [1 per cell]
H  0.2760  0.2770  0.2334 [2 per cell]
F  0.2174  0.2193  0.4140 [2 per cell]
F  0.2325  0.7598  0.3142 [2 per cell]
F  0.2411  0.7690  0.6856 [2 per cell]
F  0.3074  0.3080  0.0883 [2 per cell]

***

# 2
DFT (PBE) results for a geometry-optimized Ac3RhPbO structure.

final energy: -6.051 eV per atom
formation energy from raw total energies: -7.965 eV/f.u.

Lattice parameters (Å, degrees): 9.6963 4.2977 9.9615 90.00 105.36 90.00
Space group P2_1/m (No. 11)
Asymmetric unit:
Ac  0.0557  0.2500  0.3427 [2 per cell]
Ac  0.3267  0.2500  0.9704 [2 per cell]
Ac  0.3744  0.7500  0.6468 [2 per cell]
Rh  0.1597  0.2500  0.6500 [2 per cell]
Pb  0.3110  0.7500  0.2654 [2 per cell]
O  0.4187  0.7500  0.9047 [2 per cell]

***

# 3
DFT (PBE) results for a geometry-optimized Pr3MgRu structure.

final energy: -5.056 eV per atom
ΔE to the lowest computed polymorph: 0.120 eV per atom
DFT formation energy: -0.01 eV per atom

Lattice parameters (Å, degrees): 5.5368 5.5368 5.5368 90.00 90.00 90.00
Space group Pm-3m (No. 221)
Asymmetric unit:
Pr  0.0000  0.0000  0.5000 [3 per cell]
Mg  0.5000  0.5000  0.5000 [1 per cell]
Ru  0.0000  0.0000  0.0000 [1 per cell]

***

Values of M_tot, in order: 0.000, 0.000, 0.000, all in μB per formula unit.